1.
The following is a DFT calculation (PBE-GGA) of TbNd3Sm4Se8 after structural relaxation.

Values from the calculation:
Uncorrected formation energy, eV/f.u.: -29.00
Calculated total energy, eV/atom: -5.9179
Crystal system: trigonal

Cell lengths 8.3709, 8.3709, 8.3709 Å; angles 60.06, 60.06, 60.06 degrees
With the nearest neighbours (Å) after each atom.
Fractional coordinates of all 16 atoms:
Tb1 0.0000 0.0000 0.0000  6 Se 2.93
Nd1 0.0000 0.5000 0.5000  6 Se 2.98
Nd2 0.5000 0.0000 0.5000  6 Se 2.98
Nd3 0.5000 0.5000 0.0000  6 Se 2.98
Sm1 0.0000 0.0000 0.5000  6 Se 2.94
Sm2 0.0000 0.5000 0.0000  6 Se 2.94
Sm3 0.5000 0.0000 0.0000  6 Se 2.94
Sm4 0.5000 0.5000 0.5000  6 Se 2.99
Se1 0.2437 0.7527 0.7527  1 Tb 2.93, 3 Sm 2.94-2.99, 2 Nd 2.98
Se2 0.2473 0.2473 0.7563  1 Tb 2.93, 3 Sm 2.94-2.99, 2 Nd 2.98
Se3 0.2473 0.7563 0.2473  1 Tb 2.93, 3 Sm 2.94-2.99, 2 Nd 2.98
Se4 0.2482 0.2482 0.2482  3 Sm 2.94, 3 Nd 2.98
Se5 0.7518 0.7518 0.7518  3 Sm 2.94, 3 Nd 2.98
Se6 0.7527 0.2437 0.7527  1 Tb 2.93, 3 Sm 2.94-2.99, 2 Nd 2.98
Se7 0.7527 0.7527 0.2437  1 Tb 2.93, 3 Sm 2.94-2.99, 2 Nd 2.98
Se8 0.7563 0.2473 0.2473  1 Tb 2.93, 3 Sm 2.94-2.99, 2 Nd 2.98

***

2.
The following is a DFT calculation (PBE-GGA) of MnOsCl2 after structural relaxation.

Values from the calculation:
Uncorrected formation energy, eV/f.u.: 0.66
Calculated total energy, eV/atom: -5.8585
Energy relative to the lowest polymorph listed for this composition, meV per atom: 195
Crystal system: monoclinic

Cell lengths 8.0855, 8.0855, 4.2545 Å; angles 104.32, 104.32, 21.12 degrees
With the nearest neighbours (Å) after each atom.
Fractional coordinates of all 4 atoms:
Mn1 0.0000 0.0000 0.0000  4 Os 2.59
Os1 0.5000 0.5000 0.5000  2 Cl 2.27
Cl1 0.3526 0.3526 0.3595  1 Os 2.27
Cl2 0.6474 0.6474 0.6405  1 Os 2.27